A geometry-optimized ScUCo structure. Source: OQMD, functional PBE.

a b c (Å): 6.088 6.088 6.088
angles (deg): 90.00 90.00 90.00
Positions (direct):
Sc (0.000, 0.000, 0.000)
Sc (0.000, 0.500, 0.500)
Sc (0.500, 0.000, 0.500)
Sc (0.500, 0.500, 0.000)
U (0.250, 0.250, 0.750)
U (0.250, 0.750, 0.250)
U (0.750, 0.250, 0.250)
U (0.750, 0.750, 0.750)
Co (0.000, 0.000, 0.500)
Co (0.000, 0.500, 0.000)
Co (0.500, 0.000, 0.000)
Co (0.500, 0.500, 0.500)

Values from the calculation:
Total magnetic moment in μB per cell: 0.42
Calculated total energy in eV per cell: -88.70
SG: F-43m, No. 216
E above lowest polymorph in meV/atom: 568

A geometry-optimized MgAlFeW structure. Source: OQMD, functional PBE.

a b c (Å): 6.217 6.217 6.217
angles (deg): 90.00 90.00 90.00
Positions (direct):
Mg (0.000, 0.000, 0.000)
Mg (0.000, 0.500, 0.500)
Mg (0.500, 0.000, 0.500)
Mg (0.500, 0.500, 0.000)
Al (0.000, 0.000, 0.500)
Al (0.000, 0.500, 0.000)
Al (0.500, 0.000, 0.000)
Al (0.500, 0.500, 0.500)
Fe (0.250, 0.250, 0.750)
Fe (0.250, 0.750, 0.250)
Fe (0.750, 0.250, 0.250)
Fe (0.750, 0.750, 0.750)
W (0.250, 0.250, 0.250)
W (0.250, 0.750, 0.750)
W (0.750, 0.250, 0.750)
W (0.750, 0.750, 0.250)

Values from the calculation:
Total magnetic moment in μB per cell: 14.41
Calculated total energy in eV per cell: -99.28
SG: F-43m, No. 216
E above lowest polymorph in meV/atom: 199

A geometry-optimized NaReAuO3 structure. Source: OQMD, functional PBE.

a b c (Å): 10.325 2.772 10.861
angles (deg): 90.00 90.00 90.00
Positions (direct):
Na (0.228, 0.250, 0.128)
Na (0.272, 0.750, 0.628)
Na (0.728, 0.250, 0.372)
Na (0.772, 0.750, 0.872)
Re (0.038, 0.750, 0.394)
Re (0.462, 0.250, 0.894)
Re (0.538, 0.750, 0.106)
Re (0.962, 0.250, 0.606)
Au (0.060, 0.750, 0.908)
Au (0.440, 0.250, 0.408)
Au (0.560, 0.750, 0.592)
Au (0.940, 0.250, 0.092)
O (0.061, 0.750, 0.702)
O (0.141, 0.250, 0.499)
O (0.168, 0.750, 0.283)
O (0.332, 0.250, 0.783)
O (0.359, 0.750, 0.999)
O (0.439, 0.250, 0.202)
O (0.561, 0.750, 0.798)
O (0.641, 0.250, 0.001)
O (0.668, 0.750, 0.217)
O (0.832, 0.250, 0.717)
O (0.859, 0.750, 0.501)
O (0.939, 0.250, 0.298)

Values from the calculation:
Total magnetic moment in μB per cell: 0.05
Calculated total energy in eV per cell: -153.16
SG: Pnma, No. 62